(1)
Computed, not measured: crystalline EuGdScCd at its relaxed geometry at the GGA-PBE level of DFT.

Computed properties:
Final energy   -126.427 eV for the cell shown
Formation energy   -0.001 eV per atom

```
data_EuGdScCd
_cell_length_a 7.731
_cell_length_b 7.731
_cell_length_c 7.731
_cell_angle_alpha 90.00
_cell_angle_beta 90.00
_cell_angle_gamma 90.00
_space_group_name_H-M_alt 'F -4 3 m'
_space_group_IT_number 216
_space_group_name_Hall 'F -4 2 3'
loop_
_atom_site_label
_atom_site_type_symbol
_atom_site_fract_x
_atom_site_fract_y
_atom_site_fract_z
_atom_site_occupancy
Eu1 Eu 0.000 0.000 0.000 1
Gd1 Gd 0.000 0.000 0.500 1
Sc1 Sc 0.250 0.250 0.750 1
Cd1 Cd 0.250 0.250 0.250 1
```

=====

(2)
Computed, not measured: crystalline Ca2CrW at its relaxed geometry at the GGA-PBE level of DFT.

Computed properties:
Final energy   -44.838 eV for the cell shown
Formation energy   1.040 eV per atom
Polymorph energy (0 for the lowest one)   0.548 eV per atom

```
data_Ca2CrW
_cell_length_a 4.233
_cell_length_b 4.233
_cell_length_c 9.865
_cell_angle_alpha 90.00
_cell_angle_beta 90.00
_cell_angle_gamma 90.00
_space_group_name_H-M_alt 'I 4/m m m'
_space_group_IT_number 139
_space_group_name_Hall '-I 4 2'
loop_
_atom_site_label
_atom_site_type_symbol
_atom_site_fract_x
_atom_site_fract_y
_atom_site_fract_z
_atom_site_occupancy
Ca1 Ca 0.000 0.500 0.250 1
Cr1 Cr 0.000 0.000 0.000 1
W1 W 0.000 0.000 0.500 1
```